No. 1
# LiIrW2 | Alexandria | PBEsol | relaxed
data_LiIrW2
_chemical_formula_sum 'Li1 Ir1 W2'
_cell_length_a 2.696
_cell_length_b 4.129
_cell_length_c 5.206
_cell_angle_alpha 90.00
_cell_angle_beta 101.60
_cell_angle_gamma 90.00
_symmetry_space_group_name_H-M 'P 1'
_symmetry_Int_Tables_number 1
_symmetry_space_group_name_Hall 'P 1'
loop_
_atom_site_label
_atom_site_type_symbol
_atom_site_fract_x
_atom_site_fract_y
_atom_site_fract_z
_atom_site_occupancy
Ir1 Ir 0.500 0.500 0.000 1
Li1 Li 0.500 0.500 0.500 1
W1 W 0.970 0.000 0.742 1
W2 W 0.030 0.000 0.258 1
# - E above lowest polymorph: 0 meV/atom
# - Energy of formation from the pure elements: 0.1671 eV per atom
# - Space group: P2/m (10)

=====

No. 2
# LiIrW2 | Alexandria | PBEsol | relaxed
data_LiIrW2
_chemical_formula_sum 'Li1 Ir1 W2'
_cell_length_a 2.712
_cell_length_b 3.993
_cell_length_c 5.256
_cell_angle_alpha 90.00
_cell_angle_beta 90.00
_cell_angle_gamma 90.00
_symmetry_space_group_name_H-M 'P 1'
_symmetry_Int_Tables_number 1
_symmetry_space_group_name_Hall 'P 1'
loop_
_atom_site_label
_atom_site_type_symbol
_atom_site_fract_x
_atom_site_fract_y
_atom_site_fract_z
_atom_site_occupancy
W1 W 0.000 0.000 0.254 1
Ir1 Ir 0.500 0.500 0.000 1
Li1 Li 0.500 0.500 0.500 1
W2 W 0.000 0.000 0.746 1
# - E above lowest polymorph: 12 meV/atom
# - Energy of formation from the pure elements: 0.1792 eV per atom
# - Space group: Pmmm (47)

=====

No. 3
# LiIr2W | Alexandria | PBEsol | relaxed
data_LiIr2W
_chemical_formula_sum 'Li1 Ir2 W1'
_cell_length_a 2.675
_cell_length_b 2.675
_cell_length_c 8.054
_cell_angle_alpha 90.00
_cell_angle_beta 90.00
_cell_angle_gamma 90.00
_symmetry_space_group_name_H-M 'P 1'
_symmetry_Int_Tables_number 1
_symmetry_space_group_name_Hall 'P 1'
loop_
_atom_site_label
_atom_site_type_symbol
_atom_site_fract_x
_atom_site_fract_y
_atom_site_fract_z
_atom_site_occupancy
W1 W 0.500 0.500 0.761 1
Ir1 Ir 0.500 0.500 0.248 1
Li1 Li 0.000 0.000 0.480 1
Ir2 Ir 0.000 0.000 0.011 1
# - Energy of formation from the pure elements: 0.2371 eV per atom
# - Space group: P4mm (99)

=====

What is the energy of formation from the pure elements in the third record? 0.2371 eV per atom

=====

Among the records above, which one has the lowest energy of formation from the pure elements? number 1

=====

Among the records above, which one has the lowest energy of formation from the pure elements? number 1